! ScTc2Ag PBEsol optimized geometry; values from VASP
&SYSTEM
  ibrav = 0, nat = 4, ntyp = 3
/
ATOMIC_SPECIES
Ag 107.87 Ag.upf
Sc 44.96 Sc.upf
Tc 98.00 Tc.upf
ATOMIC_POSITIONS crystal
Ag 0.0000 0.5000 0.0000
Sc 0.5000 0.0000 0.0000
Tc 0.5000 0.5000 0.5000
Tc 0.0000 0.0000 0.5000
CELL_PARAMETERS angstrom
-0.5390 2.6292 0.2425
-3.1743 -1.1156 -3.8226
-1.4695 -1.7194 4.8330
! ΔE to the lowest computed polymorph	0.47	eV/f.u.
! V	15.6	Å³ per atom
! theoretical density	9.27	g cm⁻³
! E	-7.900	eV/atom